No. 1
NdTcClO4 | Alexandria via LeMat-Bulk | PBE | optimized geometry; formation energy (no corrections) = -2.06 eV/atom; total energy = -7.316 eV per atom; symmetry = C2/m
1.0
6.457 0.035 -0.149
2.172 6.081 -0.149
1.596 1.131 6.742
Nd Tc Cl O
2 2 2 8
direct
0.219 0.219 0.895
0.781 0.781 0.105
0.634 0.634 0.721
0.366 0.366 0.279
0.012 0.012 0.236
0.988 0.988 0.764
0.285 0.285 0.529
0.715 0.715 0.471
0.125 0.483 0.146
0.537 0.537 0.217
0.517 0.875 0.854
0.483 0.125 0.146
0.463 0.463 0.783
0.875 0.517 0.854

***

No. 2
NdTe2ClO5 | Alexandria via LeMat-Bulk | PBE | optimized geometry; formation energy (no corrections) = -1.61 eV/atom; total energy = -5.800 eV per atom; symmetry = P4/mmm
1.0
3.940 0.000 0.000
0.000 3.940 0.000
0.000 0.000 8.748
Nd Te Cl O
1 2 1 5
direct
0.000 0.000 0.000
0.500 0.500 0.260
0.500 0.500 0.740
0.000 0.000 0.500
0.000 0.500 0.184
0.000 0.500 0.816
0.500 0.000 0.816
0.500 0.500 0.000
0.500 0.000 0.184

***

No. 3
Nd2Ti3Cl2O8 | Alexandria via LeMat-Bulk | PBE | optimized geometry; formation energy (no corrections) = -3.04 eV/atom; total energy = -8.150 eV per atom; symmetry = Pbcn
1.0
-3.553 3.570 0.332
-4.115 -4.998 9.704
9.297 8.481 8.310
Nd Ti Cl O
8 12 8 32
direct
0.023 0.363 0.334
0.477 0.363 0.666
0.477 0.863 0.834
0.523 0.137 0.166
0.977 0.137 0.834
0.977 0.637 0.666
0.023 0.863 0.166
0.523 0.637 0.334
0.750 0.094 0.500
0.871 0.423 0.839
0.129 0.577 0.161
0.129 0.077 0.339
0.250 0.406 0.000
0.371 0.077 0.661
0.250 0.906 0.500
0.371 0.577 0.839
0.629 0.923 0.339
0.629 0.423 0.161
0.750 0.594 0.000
0.871 0.923 0.661
0.021 0.599 0.419
0.479 0.099 0.919
0.979 0.901 0.919
0.479 0.599 0.581
0.021 0.099 0.081
0.521 0.901 0.081
0.521 0.401 0.419
0.979 0.401 0.581
0.062 0.045 0.576
0.062 0.545 0.924
0.574 0.684 0.919
0.426 0.816 0.419
0.327 0.468 0.235
0.438 0.045 0.424
0.748 0.799 0.719
0.074 0.316 0.919
0.252 0.701 0.219
0.173 0.968 0.735
0.248 0.701 0.781
0.252 0.201 0.281
0.173 0.468 0.765
0.827 0.032 0.265
0.752 0.299 0.219
0.438 0.545 0.076
0.562 0.955 0.576
0.938 0.955 0.424
0.926 0.184 0.419
0.673 0.032 0.735
0.827 0.532 0.235
0.562 0.455 0.924
0.752 0.799 0.281
0.926 0.684 0.081
0.426 0.316 0.081
0.748 0.299 0.781
0.673 0.532 0.765
0.938 0.455 0.076
0.248 0.201 0.719
0.327 0.968 0.265
0.574 0.184 0.581
0.074 0.816 0.581